A geometry-optimized AcGaNiH2 structure, computed with PBE.

a = 4.1042 Å, b = 6.1094 Å, c = 6.1507 Å
α = 90.00°, β = 90.00°, γ = 109.63°
Atoms (fractional coordinates):
Ga (0.4278, 0.8555, 0.7500)
Ga (0.5722, 0.1445, 0.2500)
Ni (0.0000, 0.0000, 0.0000)
Ni (0.0000, 0.0000, 0.5000)
Ac (0.3011, 0.6021, 0.2500)
Ac (0.6989, 0.3979, 0.7500)
H (0.1377, 0.2754, 0.5367)
H (0.8623, 0.7246, 0.4633)
H (0.1377, 0.2754, 0.9633)
H (0.8623, 0.7246, 0.0367)

Output
Fermi-level density of states	0.53	states/eV per atom
total moment	0.00	μB per cell
final energy	-43.214	eV for the cell shown
ρ	8.17	g cm⁻³